[1]
This record from Alexandria describes a relaxed structure of ScFeHRh2. The functional is GGA-PBE.

Properties
SG	P4/mmm, No. 123
polymorph energy (0 for the lowest one)	0	meV/atom

Cell lengths 3.978, 3.978, 3.949 Å; angles 90.00, 90.00, 90.00 degrees
Positions (direct):
Sc 0.000 0.000 0.000
Fe 0.500 0.500 0.000
H 0.000 0.000 0.500
Rh 0.000 0.500 0.500
Rh 0.500 0.000 0.500

[2]
This record from Alexandria describes a relaxed structure of Sc2FeHRh. The functional is GGA-PBE.

Properties
total energy	-34.655	eV/cell
SG	P4/mmm, No. 123

Cell lengths 4.509, 4.509, 3.270 Å; angles 90.00, 90.00, 90.00 degrees
Positions (direct):
Sc 0.000 0.500 0.000
Sc 0.500 0.000 0.000
Fe 0.000 0.000 0.500
H 0.000 0.000 0.000
Rh 0.500 0.500 0.500